DyMoO3: optimized geometry, PBE+U.

POSCAR file:
```
DyMoO3
1.0
3.241 0.000 -0.695
0.000 5.684 0.000
0.060 0.000 8.187
Dy Mo O
2 2 6
Cartesian
2.682 2.786 4.604
0.619 5.628 2.888
1.663 3.053 -0.151
1.638 0.211 7.643
2.384 1.176 3.214
3.161 4.376 6.841
1.352 1.857 6.307
0.917 4.018 4.278
0.140 1.534 0.651
1.949 4.699 1.185
```

* raw total energy: -7.69 eV/atom